Version i
5
Lattice="4.206 0.000 0.000 0.000 4.206 0.000 0.000 0.000 4.816" Properties=species:S:1:pos:R:3 comment="YZrNF2, optimized geometry, DFT GGA-PBE" crystal_system=tetragonal n_ef_per_ev_cell=4.37 m_tot_mub_per_fu=1.98 pbc="T T T"
Y 0.000 0.000 0.000
Zr 2.103 2.103 2.408
N 0.000 0.000 2.408
F 0.000 2.103 0.000
F 2.103 0.000 0.000

Version ii
5
Lattice="4.276 0.000 0.000 0.000 4.276 0.000 0.000 0.000 4.336" Properties=species:S:1:pos:R:3 comment="YZrNF2, optimized geometry, DFT GGA-PBE" crystal_system=tetragonal n_ef_per_ev_cell=4.47 m_tot_mub_per_fu=1.49 pbc="T T T"
Y 0.000 0.000 0.000
Zr 2.138 2.138 2.168
N 2.138 2.138 0.000
F 0.000 2.138 2.168
F 2.138 0.000 2.168

The structure with the least stability is version i.

Version i
5
Lattice="4.305 0.000 0.000 0.000 4.305 0.000 0.000 0.000 4.017" Properties=species:S:1:pos:R:3 comment="YZrN2F, optimized geometry, DFT GGA-PBE" crystal_system=tetragonal n_ef_per_ev_cell=0.13 m_tot_mub_per_fu=0.00 pbc="T T T"
Y 0.000 0.000 0.000
Zr 2.153 2.153 2.009
N 0.000 2.153 2.009
N 2.153 0.000 2.009
F 2.153 2.153 0.000

Version ii
5
Lattice="4.447 0.000 0.000 0.000 4.447 0.000 0.000 0.000 4.036" Properties=species:S:1:pos:R:3 comment="YZrN2F, optimized geometry, DFT GGA-PBE" crystal_system=tetragonal n_ef_per_ev_cell=1.89 m_tot_mub_per_fu=0.00 pbc="T T T"
Y 0.000 0.000 0.000
Zr 2.224 2.224 2.018
N 0.000 2.224 0.000
N 2.224 0.000 0.000
F 0.000 0.000 2.018

The structure with the least stability is version ii.

Version i
4
Lattice="0.000 2.765 2.765 2.765 0.000 2.765 2.765 2.765 0.000" Properties=species:S:1:pos:R:3 comment="ZnNF2, optimized geometry, DFT GGA-PBE" crystal_system=cubic n_ef_per_ev_cell=0.00 m_tot_mub_per_fu=3.00 pbc="T T T"
Zn 0.000 0.000 0.000
N 2.765 2.765 2.765
F 1.383 1.383 1.383
F 4.148 4.148 4.148

Version ii
8
Lattice="-3.050 3.050 4.183 3.050 -3.050 4.183 3.050 3.050 -4.183" Properties=species:S:1:pos:R:3 comment="ZnNF2, optimized geometry, DFT GGA-PBE" crystal_system=tetragonal n_ef_per_ev_cell=0.00 m_tot_mub_per_fu=3.00 pbc="T T T"
Zn 0.000 0.000 0.000
Zn 0.000 3.050 2.091
N 3.050 0.000 2.091
N 0.000 0.000 4.183
F -0.550 1.525 1.046
F 1.525 2.500 3.137
F 0.550 4.575 1.046
F -1.525 3.599 3.137

The structure with the least stability is version i.

Version i
8
Lattice="4.858 -1.558 0.000 4.858 1.558 0.000 -2.433 0.000 8.137" Properties=species:S:1:pos:R:3 comment="ZnNF2, optimized geometry, DFT GGA-PBE" crystal_system=monoclinic n_ef_per_ev_cell=0.00 m_tot_mub_per_fu=0.00 pbc="T T T"
Zn 1.976 0.000 1.319
Zn 5.306 0.000 6.818
N 3.390 0.000 3.573
N 3.893 0.000 4.564
F -0.864 0.000 7.435
F 1.323 0.000 6.005
F 5.959 0.000 2.132
F 8.147 0.000 0.702

Version ii
4
Lattice="1.718 0.992 8.003 -1.718 0.992 8.003 0.000 -1.984 8.003" Properties=species:S:1:pos:R:3 comment="ZnNF2, optimized geometry, DFT GGA-PBE" crystal_system=trigonal n_ef_per_ev_cell=0.00 m_tot_mub_per_fu=3.00 pbc="T T T"
Zn 0.000 0.000 0.000
N 0.000 0.000 12.004
F 0.000 0.000 1.725
F 0.000 0.000 22.283

The structure with the least stability is version ii.

Version i
5
Lattice="3.460 0.000 0.000 0.000 3.460 0.000 0.000 0.000 4.667" Properties=species:S:1:pos:R:3 comment="ZnN2F2, optimized geometry, DFT GGA-PBE" crystal_system=tetragonal n_ef_per_ev_cell=1.69 m_tot_mub_per_fu=0.64 pbc="T T T"
Zn 0.000 0.000 0.000
N 0.000 1.730 2.334
N 1.730 0.000 2.334
F 1.730 1.730 0.000
F 1.730 1.730 2.334

Version ii
5
Lattice="4.041 0.000 0.000 0.000 4.041 0.000 0.000 0.000 4.337" Properties=species:S:1:pos:R:3 comment="ZnN2F2, optimized geometry, DFT GGA-PBE" crystal_system=tetragonal n_ef_per_ev_cell=3.29 m_tot_mub_per_fu=5.75 pbc="T T T"
Zn 0.000 0.000 0.000
N 0.000 0.000 2.168
N 2.021 2.021 2.168
F 0.000 2.021 0.000
F 2.021 0.000 0.000

The structure with the least stability is version i.

Version i
5
Lattice="3.983 0.000 0.000 0.000 3.983 0.000 0.000 0.000 3.983" Properties=species:S:1:pos:R:3 comment="ZnNF3, optimized geometry, DFT GGA-PBE" crystal_system=cubic n_ef_per_ev_cell=9.07 m_tot_mub_per_fu=2.16 pbc="T T T"
Zn 0.000 0.000 0.000
N 1.991 1.991 1.991
F 0.000 0.000 1.991
F 0.000 1.991 0.000
F 1.991 0.000 0.000

Version ii
5
Lattice="3.850 0.000 0.000 0.000 3.850 0.000 0.000 0.000 3.850" Properties=species:S:1:pos:R:3 comment="ZnNF3, optimized geometry, DFT GGA-PBE" crystal_system=cubic n_ef_per_ev_cell=2.63 m_tot_mub_per_fu=0.77 pbc="T T T"
Zn 0.000 0.000 0.000
N 1.925 1.925 1.925
F 0.000 1.925 1.925
F 1.925 0.000 1.925
F 1.925 1.925 0.000

Version iii
10
Lattice="4.010 0.000 0.000 -1.907 5.367 0.000 -1.066 -2.290 7.088" Properties=species:S:1:pos:R:3 comment="ZnNF3, optimized geometry, DFT GGA-PBE" crystal_system=triclinic n_ef_per_ev_cell=0.00 m_tot_mub_per_fu=2.00 pbc="T T T"
Zn -0.483 0.297 3.219
Zn 1.519 2.781 3.869
N -0.431 1.287 1.020
N 1.467 1.791 6.068
F -0.525 -0.865 4.838
F -1.488 1.776 6.866
F -0.481 2.238 3.978
F 1.517 0.839 3.110
F 2.524 1.301 0.222
F 1.561 3.942 2.249

The structure with the least stability is version ii.

Version i
4
Lattice="1.720 0.993 5.562 -1.720 0.993 5.562 0.000 -1.986 5.562" Properties=species:S:1:pos:R:3 comment="ZrN2F, optimized geometry, DFT GGA-PBE" crystal_system=trigonal n_ef_per_ev_cell=2.92 m_tot_mub_per_fu=0.00 pbc="T T T"
Zr 0.000 0.000 0.000
N 0.000 0.000 6.542
N 0.000 0.000 10.144
F 0.000 0.000 8.343

Version ii
4
Lattice="0.000 2.743 2.743 2.743 0.000 2.743 2.743 2.743 0.000" Properties=species:S:1:pos:R:3 comment="ZrN2F, optimized geometry, DFT GGA-PBE" crystal_system=cubic n_ef_per_ev_cell=9.07 m_tot_mub_per_fu=2.89 pbc="T T T"
Zr 0.000 0.000 0.000
N 1.372 1.372 1.372
N 4.115 4.115 4.115
F 2.743 2.743 2.743

Version iii
8
Lattice="-1.702 1.702 7.938 1.702 -1.702 7.938 1.702 1.702 -7.938" Properties=species:S:1:pos:R:3 comment="ZrN2F, optimized geometry, DFT GGA-PBE" crystal_system=tetragonal n_ef_per_ev_cell=2.42 m_tot_mub_per_fu=0.00 pbc="T T T"
Zr 0.000 0.000 0.000
Zr 0.000 1.702 3.969
N 0.206 0.851 1.985
N -0.851 1.496 5.954
N -0.206 2.553 1.985
N 0.851 1.908 5.954
F 1.702 0.000 3.969
F 0.000 0.000 7.938

The structure with the least stability is version ii.

Version i
5
Lattice="3.951 0.000 0.000 0.000 3.951 0.000 0.000 0.000 3.951" Properties=species:S:1:pos:R:3 comment="ZrNF3, optimized geometry, DFT GGA-PBE" crystal_system=cubic n_ef_per_ev_cell=3.34 m_tot_mub_per_fu=1.36 pbc="T T T"
Zr 0.000 0.000 0.000
N 1.976 1.976 1.976
F 0.000 1.976 1.976
F 1.976 0.000 1.976
F 1.976 1.976 0.000

Version ii
5
Lattice="4.208 0.000 0.000 0.000 4.208 0.000 0.000 0.000 4.208" Properties=species:S:1:pos:R:3 comment="ZrNF3, optimized geometry, DFT GGA-PBE" crystal_system=cubic n_ef_per_ev_cell=3.60 m_tot_mub_per_fu=2.00 pbc="T T T"
Zr 0.000 0.000 0.000
N 2.104 2.104 2.104
F 0.000 0.000 2.104
F 0.000 2.104 0.000
F 2.104 0.000 0.000

The structure with the least stability is version i.

Version i
4
Lattice="-1.867 3.068 2.809 1.867 -3.068 2.809 1.867 3.068 -2.809" Properties=species:S:1:pos:R:3 comment="NaF3, optimized geometry, DFT GGA-PBE" crystal_system=orthorhombic n_ef_per_ev_cell=0.00 m_tot_mub_per_fu=0.03 pbc="T T T"
Na 0.000 0.000 0.000
F 1.867 0.000 1.203
F 1.867 1.729 1.007
F 0.000 1.340 3.817

Version ii
8
Lattice="3.228 -3.634 0.000 3.228 3.634 0.000 0.000 0.000 4.579" Properties=species:S:1:pos:R:3 comment="NaF3, optimized geometry, DFT GGA-PBE" crystal_system=orthorhombic m_tot_mub_per_fu=2.00 pbc="T T T"
Na 3.228 2.332 3.434
Na 3.228 -2.332 1.145
F 1.369 0.820 3.434
F 3.228 1.418 1.145
F 1.369 -0.820 1.145
F 5.087 0.820 3.434
F 3.228 -1.418 3.434
F 5.087 -0.820 1.145

Version iii
4
Lattice="0.000 2.858 2.858 2.858 0.000 2.858 2.858 2.858 0.000" Properties=species:S:1:pos:R:3 comment="NaF3, optimized geometry, DFT GGA-PBE" crystal_system=cubic n_ef_per_ev_cell=4.27 m_tot_mub_per_fu=2.00 pbc="T T T"
Na 0.000 0.000 0.000
F 1.429 1.429 1.429
F 2.858 2.858 2.858
F 4.287 4.287 4.287

The structure with the least stability is version iii.

Version i
4
Lattice="1.831 1.057 5.698 -1.831 1.057 5.698 0.000 -2.114 5.698" Properties=species:S:1:pos:R:3 comment="NaF3, optimized geometry, DFT GGA-PBE" crystal_system=trigonal n_ef_per_ev_cell=1.95 m_tot_mub_per_fu=2.00 pbc="T T T"
Na 0.000 0.000 0.000
F 0.000 0.000 2.037
F 0.000 0.000 8.547
F 0.000 0.000 15.057

Version ii
4
Lattice="1.789 1.033 5.431 -1.789 1.033 5.431 0.000 -2.065 5.431" Properties=species:S:1:pos:R:3 comment="NaF3, optimized geometry, DFT GGA-PBE" crystal_system=trigonal n_ef_per_ev_cell=0.00 m_tot_mub_per_fu=0.00 pbc="T T T"
Na 0.000 0.000 0.000
F 0.000 0.000 6.434
F 0.000 0.000 8.147
F 0.000 0.000 9.861

Version iii
4
Lattice="-1.640 1.640 4.384 1.640 -1.640 4.384 1.640 1.640 -4.384" Properties=species:S:1:pos:R:3 comment="NaF3, optimized geometry, DFT GGA-PBE" crystal_system=tetragonal n_ef_per_ev_cell=2.16 m_tot_mub_per_fu=2.00 pbc="T T T"
Na 0.000 0.000 0.000
F 1.640 0.000 2.192
F 0.000 0.000 4.384
F 0.000 1.640 2.192

The structure with the least stability is version i.

Version i
4
Lattice="3.274 0.000 0.000 0.000 4.649 0.000 0.000 0.000 3.276" Properties=species:S:1:pos:R:3 comment="NaF3, optimized geometry, DFT GGA-PBE" crystal_system=orthorhombic n_ef_per_ev_cell=1.94 m_tot_mub_per_fu=2.00 pbc="T T T"
Na 0.000 0.000 0.000
F 0.000 2.324 0.004
F 1.637 0.000 1.639
F 1.637 2.324 1.651

Version ii
8
Lattice="-1.913 1.913 6.957 1.913 -1.913 6.957 1.913 1.913 -6.957" Properties=species:S:1:pos:R:3 comment="NaF3, optimized geometry, DFT GGA-PBE" crystal_system=tetragonal n_ef_per_ev_cell=4.17 m_tot_mub_per_fu=2.00 pbc="T T T"
Na 0.000 0.000 0.000
Na 0.000 1.913 3.478
F 0.956 -0.907 5.217
F 1.913 0.000 3.478
F 1.006 0.956 1.739
F 0.000 0.000 6.957
F 0.956 2.819 -1.739
F 0.907 0.956 8.696

The structure with the least stability is version ii.

Version i
5
Lattice="3.449 -1.697 0.000 3.449 1.697 0.000 -1.998 0.000 6.628" Properties=species:S:1:pos:R:3 comment="NaF4, optimized geometry, DFT GGA-PBE" crystal_system=monoclinic n_ef_per_ev_cell=2.25 m_tot_mub_per_fu=1.26 pbc="T T T"
Na 0.000 0.000 0.000
F 0.711 0.000 3.519
F 0.114 0.000 5.783
F 4.786 0.000 0.845
F 4.189 0.000 3.109

Version ii
5
Lattice="4.396 0.000 0.000 0.000 4.396 0.000 0.000 0.000 4.396" Properties=species:S:1:pos:R:3 comment="NaF4, optimized geometry, DFT GGA-PBE" crystal_system=cubic n_ef_per_ev_cell=11.87 m_tot_mub_per_fu=3.00 pbc="T T T"
Na 0.000 0.000 0.000
F 0.000 0.000 2.198
F 0.000 2.198 0.000
F 2.198 0.000 0.000
F 2.198 2.198 2.198

The structure with the least stability is version ii.